Entry from Alexandria via LeMat-Bulk: Ho5Co2Hg2 after structural relaxation (PBE).

Values from the calculation:
Total magnetization in μB per atom: 0.000
E in eV/atom: -4.520
Space group: No. 64
DOS at the Fermi energy in states/eV per cell: 13.911
Energy of formation in eV/atom: -0.331

```
Ho5Co2Hg2
1.0
6.807 0.000 2.471
0.000 7.335 0.000
0.664 0.000 8.783
Co Hg Ho
4 4 10
Direct
0.391 0.888 0.000 Co
0.109 0.388 0.000 Co
0.891 0.612 0.000 Co
0.609 0.112 0.000 Co
0.779 0.000 0.441 Hg
0.279 0.500 0.441 Hg
0.721 0.500 0.559 Hg
0.221 0.000 0.559 Hg
0.939 0.319 0.758 Ho
0.302 0.681 0.758 Ho
0.198 0.181 0.242 Ho
0.561 0.819 0.242 Ho
0.061 0.681 0.242 Ho
0.500 0.500 0.000 Ho
0.698 0.319 0.242 Ho
0.439 0.181 0.758 Ho
0.000 0.000 0.000 Ho
0.802 0.819 0.758 Ho
```

---

Entry from Alexandria via LeMat-Bulk: Ho4CoHg2 after structural relaxation (PBE).

Values from the calculation:
Total magnetization in μB per atom: 0.000
E in eV/atom: -3.921
Space group: No. 139
DOS at the Fermi energy in states/eV per cell: 5.314
Energy of formation in eV/atom: -0.203
Relative energy among the computed polymorphs in eV per atom: 0.013

```
Ho4CoHg2
1.0
-3.056 -3.668 1.577
3.992 -2.769 1.295
-0.583 6.305 5.520
Ho Hg Co
4 2 1
Direct
0.500 0.000 0.000 Ho
0.000 0.500 0.000 Ho
0.825 0.825 0.650 Ho
0.175 0.175 0.350 Ho
0.371 0.371 0.741 Hg
0.629 0.629 0.259 Hg
0.000 0.000 0.000 Co
```

---

Entry from Alexandria via LeMat-Bulk: Ho3CoHg after structural relaxation (PBE).

Values from the calculation:
Total magnetization in μB per atom: 0.000
E in eV/atom: -4.378
Space group: No. 221
DOS at the Fermi energy in states/eV per cell: 5.180
Energy of formation in eV/atom: -0.149
Relative energy among the computed polymorphs in eV per atom: 0.140

```
Ho3CoHg
1.0
-3.473 -1.360 -3.504
-0.788 -4.401 2.490
-3.675 2.229 2.778
Ho Co Hg
3 1 1
Direct
0.000 0.500 0.000 Ho
0.000 0.000 0.500 Ho
0.500 0.000 0.000 Ho
0.000 0.000 0.000 Co
0.500 0.500 0.500 Hg
```

---

Entry from Alexandria via LeMat-Bulk: Ho4CoHg after structural relaxation (PBE).

Values from the calculation:
Total magnetization in μB per atom: 0.000
E in eV/atom: -4.439
Space group: No. 14
DOS at the Fermi energy in states/eV per cell: 12.699
Energy of formation in eV/atom: -0.152
Relative energy among the computed polymorphs in eV per atom: 0.157

```
Ho4CoHg
1.0
6.806 0.000 -0.195
0.000 6.893 0.000
-0.289 0.000 7.131
Ho Hg Co
8 2 2
Direct
0.383 0.856 0.191 Ho
0.187 0.838 0.640 Ho
0.117 0.356 0.809 Ho
0.883 0.644 0.191 Ho
0.313 0.338 0.360 Ho
0.687 0.662 0.640 Ho
0.617 0.144 0.809 Ho
0.813 0.162 0.360 Ho
0.500 0.500 0.000 Hg
0.000 0.000 0.000 Hg
0.500 0.000 0.500 Co
0.000 0.500 0.500 Co
```

---

Entry from Alexandria via LeMat-Bulk: Ho4CoHg2 after structural relaxation (PBE).

Values from the calculation:
Total magnetization in μB per atom: 0.000
E in eV/atom: -3.933
Space group: No. 10
DOS at the Fermi energy in states/eV per cell: 6.215
Energy of formation in eV/atom: -0.216
Relative energy among the computed polymorphs in eV per atom: 0.000

```
Ho4CoHg2
1.0
-2.557 1.467 -2.189
4.379 -2.677 -6.911
-6.264 -3.216 5.163
Hg Ho Co
2 4 1
Direct
0.500 0.836 0.345 Hg
0.500 0.307 0.797 Hg
0.500 0.907 0.766 Ho
0.500 0.236 0.377 Ho
0.000 0.445 0.191 Ho
0.000 0.698 0.952 Ho
0.000 0.071 0.071 Co
```

---

Entry from Alexandria via LeMat-Bulk: HoCoHg after structural relaxation (PBE).

Values from the calculation:
Total magnetization in μB per atom: 0.159
E in eV/atom: -4.338
Space group: No. 63
DOS at the Fermi energy in states/eV per cell: 4.384
Energy of formation in eV/atom: -0.343

```
HoCoHg
1.0
3.831 0.000 0.000
0.000 3.789 -0.879
0.000 -0.037 8.447
Co Ho Hg
2 2 2
Direct
0.250 0.535 0.069 Co
0.750 0.465 0.931 Co
0.750 0.095 0.189 Ho
0.250 0.905 0.811 Ho
0.250 0.701 0.402 Hg
0.750 0.299 0.598 Hg
```

---

Entry from Alexandria via LeMat-Bulk: Ho3Co2Hg2 after structural relaxation (PBE).

Values from the calculation:
Total magnetization in μB per atom: 0.197
E in eV/atom: -4.448
Space group: No. 65
DOS at the Fermi energy in states/eV per cell: 6.860
Energy of formation in eV/atom: -0.370

```
Ho3Co2Hg2
1.0
3.755 0.000 0.498
0.000 3.793 0.000
0.485 0.000 10.739
Ho Hg Co
3 2 2
Direct
0.825 0.000 0.350 Ho
0.000 0.000 0.000 Ho
0.175 0.000 0.650 Ho
0.414 0.500 0.173 Hg
0.586 0.500 0.827 Hg
0.723 0.500 0.554 Co
0.277 0.500 0.446 Co
```

---

Entry from Alexandria via LeMat-Bulk: Ho12Co5Hg after structural relaxation (PBE).

Values from the calculation:
Total magnetization in μB per atom: 0.000
E in eV/atom: -5.284
Space group: No. 71
DOS at the Fermi energy in states/eV per cell: 17.320
Energy of formation in eV/atom: -0.242

```
Ho12Co5Hg
1.0
-5.374 -6.097 -1.145
2.628 2.913 -7.209
6.589 -2.684 4.092
Co Hg Ho
5 1 12
Direct
0.500 0.113 0.613 Co
0.500 0.887 0.387 Co
0.000 0.000 0.000 Co
0.376 0.376 0.000 Co
0.624 0.624 0.000 Co
0.000 0.500 0.500 Hg
0.105 0.816 0.290 Ho
0.808 0.020 0.212 Ho
0.808 0.596 0.788 Ho
0.696 0.684 0.380 Ho
0.304 0.316 0.620 Ho
0.474 0.184 0.290 Ho
0.895 0.184 0.710 Ho
0.526 0.816 0.710 Ho
0.696 0.316 0.012 Ho
0.304 0.684 0.988 Ho
0.192 0.404 0.212 Ho
0.192 0.980 0.788 Ho
```

---

Entry from Alexandria via LeMat-Bulk: Ho5Co4Hg after structural relaxation (PBE).

Values from the calculation:
Total magnetization in μB per atom: 0.152
E in eV/atom: -5.398
Space group: No. 123
DOS at the Fermi energy in states/eV per cell: 5.587
Energy of formation in eV/atom: -0.237

```
Ho5Co4Hg
1.0
3.353 0.000 0.000
0.000 3.353 0.000
0.000 0.000 17.571
Co Ho Hg
4 5 1
Direct
0.000 0.000 0.215 Co
0.000 0.000 0.406 Co
0.000 0.000 0.594 Co
0.000 0.000 0.785 Co
0.500 0.500 0.124 Ho
0.500 0.500 0.500 Ho
0.500 0.500 0.312 Ho
0.500 0.500 0.688 Ho
0.500 0.500 0.876 Ho
0.000 0.000 0.000 Hg
```

---

Entry from Alexandria via LeMat-Bulk: Ho11Co4Hg9 after structural relaxation (PBE).

Values from the calculation:
Total magnetization in μB per atom: 0.000
E in eV/atom: -3.794
Space group: No. 65
DOS at the Fermi energy in states/eV per cell: 19.785
Energy of formation in eV/atom: -0.399

```
Ho11Co4Hg9
1.0
-0.041 0.051 -3.580
4.088 -12.146 -0.218
-12.788 0.850 0.158
Hg Ho Co
9 11 4
Direct
0.500 0.929 0.783 Hg
0.500 0.500 0.500 Hg
0.500 0.630 0.153 Hg
0.500 0.370 0.847 Hg
0.500 0.153 0.630 Hg
0.500 0.217 0.071 Hg
0.500 0.783 0.929 Hg
0.500 0.071 0.217 Hg
0.500 0.847 0.370 Hg
0.000 0.628 0.372 Ho
0.000 0.088 0.418 Ho
0.000 0.164 0.836 Ho
0.000 0.693 0.693 Ho
0.000 0.582 0.912 Ho
0.000 0.418 0.088 Ho
0.000 0.912 0.582 Ho
0.000 0.000 0.000 Ho
0.000 0.372 0.628 Ho
0.000 0.307 0.307 Ho
0.000 0.836 0.164 Ho
0.500 0.742 0.547 Co
0.500 0.453 0.258 Co
0.500 0.547 0.742 Co
0.500 0.258 0.453 Co
```